# CsPaPO | OQMD | PBE | relaxed
# Distance to the lowest polymorph of the same formula: 0.67 eV/f.u.
# Spin magnetization: 2.00 μB per cell
data_CsPaPO
_space_group_name_H-M_alt 'P m c 21'
_space_group_IT_number 26
_cell_length_a 4.014
_cell_length_b 8.135
_cell_length_c 7.867
_cell_angle_alpha 90.00
_cell_angle_beta 90.00
_cell_angle_gamma 90.00
loop_
_space_group_symop_operation_xyz
'x,y,z'
'-x,-y,z+1/2'
'-x,y,z'
'x,-y,z+1/2'
loop_
_atom_site_label
_atom_site_fract_x
_atom_site_fract_y
_atom_site_fract_z
_atom_site_occupancy
Cs1 0.000 0.131 0.000 1
Pa1 0.500 0.341 0.432 1
P1 0.500 0.372 0.768 1
O1 0.000 0.230 0.375 1

=====

# Zr5Be | OQMD | PBE | relaxed
# Distance to the lowest polymorph of the same formula: 0.00 eV/f.u.
# Spin magnetization: 0.02 μB per cell
data_Zr5Be
_space_group_name_H-M_alt 'P -6 2 m'
_space_group_IT_number 189
_space_group_name_Hall 'P -6 -2'
_cell_length_a 5.3753
_cell_length_b 5.3753
_cell_length_c 5.0601
_cell_angle_alpha 90.00
_cell_angle_beta 90.00
_cell_angle_gamma 120.00
loop_
_atom_site_label
_atom_site_fract_x
_atom_site_fract_y
_atom_site_fract_z
_atom_site_occupancy
Zr1 0.0000 0.6867 0.0000 1
Zr2 0.3333 0.6667 0.5000 1
Be1 0.0000 0.0000 0.5000 1

=====

# Sn2Te2PdF2 | OQMD | PBE | relaxed
# Electronic total energy: -4.303 eV/atom
data_Sn2Te2PdF2
_space_group_name_H-M_alt 'P -4 m 2'
_space_group_IT_number 115
_cell_length_a 3.991
_cell_length_b 3.991
_cell_length_c 9.650
_cell_angle_alpha 90.00
_cell_angle_beta 90.00
_cell_angle_gamma 90.00
loop_
_space_group_symop_operation_xyz
'x,y,z'
'y,-x,-z'
'-x,-y,z'
'-y,x,-z'
'-x,y,z'
'-y,-x,-z'
'x,-y,z'
'y,x,-z'
loop_
_atom_site_label
_atom_site_fract_x
_atom_site_fract_y
_atom_site_fract_z
_atom_site_occupancy
Sn1 0.000 0.500 0.159 1
Te1 0.000 0.500 0.676 1
Pd1 0.500 0.500 0.500 1
F1 0.000 0.000 0.000 1
F2 0.500 0.500 0.000 1

=====

# ScZn2Sb | OQMD | PBE | relaxed
# Electronic total energy: -3.323 eV/atom
# Spin magnetization: 0.67 μB per cell
data_ScZn2Sb
_space_group_name_H-M_alt 'F -4 3 m'
_space_group_IT_number 216
_space_group_name_Hall 'F -4 2 3'
_cell_length_a 6.891
_cell_length_b 6.891
_cell_length_c 6.891
_cell_angle_alpha 90.00
_cell_angle_beta 90.00
_cell_angle_gamma 90.00
loop_
_atom_site_label
_atom_site_fract_x
_atom_site_fract_y
_atom_site_fract_z
_atom_site_occupancy
Sc1 0.000 0.000 0.000 1
Zn1 0.000 0.000 0.500 1
Zn2 0.250 0.250 0.250 1
Sb1 0.250 0.250 0.750 1